1.
First-principles (PBE) data for a relaxed La2Dy2CBr4Cl crystal, as listed in the Open Quantum Materials Database.

a b c (Å): 9.3384 9.3384 8.3518
angles (deg): 102.29 102.29 24.28
Last column: nearest neighbours and their distance in Å.
Sites, in units of the cell vectors:
Br1 0.8247 0.8247 0.1519  2 Dy 2.91, 1 La 3.09
Br2 0.1687 0.1687 0.3283  2 Dy 2.87, 1 La 3.05
Br3 0.8313 0.8313 0.6717  2 Dy 2.87, 1 La 3.05
Br4 0.1753 0.1753 0.8481  2 Dy 2.91, 1 La 3.09
C1 0.5000 0.5000 0.0000  2 Dy 2.41, 4 La 2.67
Cl1 0.5000 0.5000 0.5000  4 La 3.08
Dy1 0.6352 0.6352 0.0716  1 C 2.41
Dy2 0.3648 0.3648 0.9284  1 C 2.41
La1 0.9981 0.9981 0.2152  2 C 2.67
La2 0.0019 0.0019 0.7848  2 C 2.67

Values from the calculation:
Energy ... -5.183 eV/atom
Offset from the most stable computed form ... 0.00 eV per formula unit

---

2.
First-principles (PBE) data for a relaxed La2Dy2CBr2Cl3 crystal, as listed in the Open Quantum Materials Database.

a b c (Å): 8.9917 8.9917 8.3711
angles (deg): 101.86 101.86 25.00
Last column: nearest neighbours and their distance in Å.
Sites, in units of the cell vectors:
Br1 0.1719 0.1719 0.3305  2 Dy 2.86, 1 La 3.05
Br2 0.8281 0.8281 0.6695  2 Dy 2.86, 1 La 3.05
C1 0.5000 0.5000 0.0000  2 Dy 2.41, 4 La 2.66
Cl1 0.8227 0.8227 0.1327  2 Dy 2.77, 1 La 2.96
Cl2 0.5000 0.5000 0.5000  4 La 3.08
Cl3 0.1773 0.1773 0.8673  2 Dy 2.77, 1 La 2.96
Dy1 0.6404 0.6404 0.0744  1 C 2.41
Dy2 0.3596 0.3596 0.9256  1 C 2.41
La1 0.9951 0.9951 0.2134  2 C 2.66, 1 Cl 2.96
La2 0.0049 0.0049 0.7866  2 C 2.66, 1 Cl 2.96

Values from the calculation:
Energy ... -5.323 eV/atom
Offset from the most stable computed form ... 0.01 eV per formula unit

---

3.
First-principles (PBE) data for a relaxed La2Dy2CBr2Cl3 crystal, as listed in the Open Quantum Materials Database.

a b c (Å): 9.2916 9.2916 7.9795
angles (deg): 105.40 105.40 23.65
Last column: nearest neighbours and their distance in Å.
Sites, in units of the cell vectors:
Br1 0.8365 0.8365 0.1910  1 Dy 2.94, 2 La 3.05
Br2 0.1635 0.1635 0.8090  1 Dy 2.94, 2 La 3.05
C1 0.5000 0.5000 0.0000  4 Dy 2.53, 2 La 2.59
Cl1 0.1535 0.1535 0.3668  1 Dy 2.73, 2 La 2.87
Cl2 0.5000 0.5000 0.5000  4 Dy 3.01
Cl3 0.8465 0.8465 0.6332  1 Dy 2.73, 2 La 2.87
Dy1 0.0002 0.0002 0.2085  2 C 2.53, 1 Cl 2.73
Dy2 0.9998 0.9998 0.7915  2 C 2.53, 1 Cl 2.73
La1 0.6477 0.6477 0.0953  1 C 2.59, 2 Cl 2.87
La2 0.3523 0.3523 0.9047  1 C 2.59, 2 Cl 2.87

Values from the calculation:
Energy ... -5.325 eV/atom
Offset from the most stable computed form ... 0.00 eV per formula unit

---

4.
First-principles (PBE) data for a relaxed La2Dy2CBr2Cl3 crystal, as listed in the Open Quantum Materials Database.

a b c (Å): 9.0779 9.0779 8.0070
angles (deg): 104.16 104.16 24.32
Last column: nearest neighbours and their distance in Å.
Sites, in units of the cell vectors:
Br1 0.1601 0.1601 0.3786  1 Dy 2.86, 2 La 2.98
Br2 0.8399 0.8399 0.6214  1 Dy 2.86, 2 La 2.98
C1 0.5000 0.5000 0.0000  4 Dy 2.53, 2 La 2.58
Cl1 0.8372 0.8372 0.1797  1 Dy 2.81, 2 La 2.92
Cl2 0.5000 0.5000 0.5000  4 Dy 3.02
Cl3 0.1628 0.1628 0.8203  1 Dy 2.81, 2 La 2.92
Dy1 0.9979 0.9979 0.2064  2 C 2.53, 1 Cl 2.81
Dy2 0.0021 0.0021 0.7936  2 C 2.53, 1 Cl 2.81
La1 0.6500 0.6500 0.0876  1 C 2.58
La2 0.3500 0.3500 0.9124  1 C 2.58

Values from the calculation:
Energy ... -5.316 eV/atom
Offset from the most stable computed form ... 0.08 eV per formula unit

---

5.
First-principles (PBE) data for a relaxed La2Dy2CBr2Cl3 crystal, as listed in the Open Quantum Materials Database.

a b c (Å): 9.2501 9.2501 8.3411
angles (deg): 103.17 103.17 24.34
Last column: nearest neighbours and their distance in Å.
Sites, in units of the cell vectors:
Br1 0.8250 0.8250 0.1533  2 Dy 2.91, 1 La 3.08
Br2 0.1750 0.1750 0.8467  2 Dy 2.91, 1 La 3.08
C1 0.5000 0.5000 0.0000  2 Dy 2.41, 4 La 2.66
Cl1 0.1661 0.1661 0.3096  2 Dy 2.73, 1 La 2.92
Cl2 0.5000 0.5000 0.5000  4 La 3.07
Cl3 0.8339 0.8339 0.6904  2 Dy 2.73, 1 La 2.92
Dy1 0.6372 0.6372 0.0741  1 C 2.41
Dy2 0.3628 0.3628 0.9260  1 C 2.41
La1 0.0000 0.0000 0.2165  2 C 2.66, 1 Cl 2.92
La2 0.0000 0.0000 0.7835  2 C 2.66, 1 Cl 2.92

Values from the calculation:
Energy ... -5.323 eV/atom
Offset from the most stable computed form ... 0.02 eV per formula unit

---

6.
First-principles (PBE) data for a relaxed La2Dy2CBr4Cl crystal, as listed in the Open Quantum Materials Database.

a b c (Å): 9.3479 9.3479 8.1101
angles (deg): 104.61 104.61 23.75
Last column: nearest neighbours and their distance in Å.
Sites, in units of the cell vectors:
Br1 0.8365 0.8365 0.1897  1 Dy 2.95, 2 La 3.04
Br2 0.1583 0.1583 0.3758  1 Dy 2.88, 2 La 2.99
Br3 0.8417 0.8417 0.6242  1 Dy 2.88, 2 La 2.99
Br4 0.1635 0.1635 0.8103  1 Dy 2.95, 2 La 3.04
C1 0.5000 0.5000 0.0000  4 Dy 2.54, 2 La 2.58
Cl1 0.5000 0.5000 0.5000  4 Dy 3.07
Dy1 0.9995 0.9995 0.2052  2 C 2.54
Dy2 0.0005 0.0005 0.7948  2 C 2.54
La1 0.6462 0.6462 0.0878  1 C 2.58
La2 0.3538 0.3538 0.9122  1 C 2.58

Values from the calculation:
Energy ... -5.172 eV/atom
Offset from the most stable computed form ... 0.11 eV per formula unit

---

7.
First-principles (PBE) data for a relaxed Nd2Dy2CBr4Cl crystal, as listed in the Open Quantum Materials Database.

a b c (Å): 9.2807 9.2807 8.1732
angles (deg): 102.40 102.40 24.10
Last column: nearest neighbours and their distance in Å.
Sites, in units of the cell vectors:
Br1 0.8269 0.8269 0.1602  2 Dy 2.90, 1 Nd 3.05
Br2 0.1667 0.1667 0.3353  2 Dy 2.86, 1 Nd 3.00
Br3 0.8333 0.8333 0.6647  2 Dy 2.86, 1 Nd 3.00
Br4 0.1731 0.1731 0.8398  2 Dy 2.90, 1 Nd 3.05
C1 0.5000 0.5000 0.0000  2 Dy 2.41, 4 Nd 2.61
Cl1 0.5000 0.5000 0.5000  4 Nd 3.04
Dy1 0.6358 0.6358 0.0721  1 C 2.41
Dy2 0.3642 0.3642 0.9279  1 C 2.41
Nd1 0.9984 0.9984 0.2132  2 C 2.61
Nd2 0.0016 0.0016 0.7868  2 C 2.61

Values from the calculation:
Energy ... -5.131 eV/atom
Offset from the most stable computed form ... 0.00 eV per formula unit

---

8.
First-principles (PBE) data for a relaxed Nd2Dy2CBr4Cl crystal, as listed in the Open Quantum Materials Database.

a b c (Å): 9.2567 9.2567 8.0374
angles (deg): 104.03 104.03 23.74
Last column: nearest neighbours and their distance in Å.
Sites, in units of the cell vectors:
Br1 0.8345 0.8345 0.1873  1 Dy 2.96, 2 Nd 2.98
Br2 0.1605 0.1605 0.3682  1 Dy 2.88, 2 Nd 2.94
Br3 0.8395 0.8395 0.6318  1 Dy 2.88, 2 Nd 2.94
Br4 0.1655 0.1655 0.8127  1 Dy 2.96, 2 Nd 2.98
C1 0.5000 0.5000 0.0000  2 Nd 2.52, 4 Dy 2.53
Cl1 0.5000 0.5000 0.5000  4 Dy 3.02
Dy1 0.9997 0.9997 0.2076  2 C 2.53
Dy2 0.0003 0.0003 0.7924  2 C 2.53
Nd1 0.6435 0.6435 0.0821  1 C 2.52
Nd2 0.3565 0.3565 0.9179  1 C 2.52

Values from the calculation:
Energy ... -5.123 eV/atom
Offset from the most stable computed form ... 0.09 eV per formula unit

---

9.
First-principles (PBE) data for a relaxed Nd2Dy2CBrCl4 crystal, as listed in the Open Quantum Materials Database.

a b c (Å): 8.8813 8.8813 8.4361
angles (deg): 103.84 103.84 25.03
Last column: nearest neighbours and their distance in Å.
Sites, in units of the cell vectors:
Br1 0.5000 0.5000 0.5000  4 Nd 3.14
C1 0.5000 0.5000 0.0000  2 Dy 2.40, 4 Nd 2.60
Cl1 0.8261 0.8261 0.1342  3 Dy 2.77-3.10, 1 Nd 2.91
Cl2 0.1692 0.1692 0.3115  2 Dy 2.72, 1 Nd 2.87
Cl3 0.8308 0.8308 0.6885  2 Dy 2.72, 1 Nd 2.87
Cl4 0.1739 0.1739 0.8658  3 Dy 2.77-3.10, 1 Nd 2.91
Dy1 0.6428 0.6428 0.0774  1 C 2.40
Dy2 0.3572 0.3572 0.9226  1 C 2.40
Nd1 0.9990 0.9990 0.2060  2 C 2.60, 1 Cl 2.87
Nd2 0.0010 0.0010 0.7940  2 C 2.60, 1 Cl 2.87

Values from the calculation:
Energy ... -5.348 eV/atom
Offset from the most stable computed form ... 0.00 eV per formula unit

---

10.
First-principles (PBE) data for a relaxed Nd2Dy2CBrCl4 crystal, as listed in the Open Quantum Materials Database.

a b c (Å): 8.9333 8.9333 8.0852
angles (deg): 105.01 105.01 24.51
Last column: nearest neighbours and their distance in Å.
Sites, in units of the cell vectors:
Br1 0.5000 0.5000 0.0000  4 Dy 3.06
C1 0.5000 0.5000 0.5000  2 Nd 2.51, 4 Dy 2.51
Cl1 0.8400 0.8400 0.1479  1 Dy 2.74, 2 Nd 2.82
Cl2 0.1652 0.1652 0.3327  1 Dy 2.81, 3 Nd 2.88-3.14
Cl3 0.8348 0.8348 0.6673  1 Dy 2.81, 3 Nd 2.88-3.14
Cl4 0.1600 0.1600 0.8521  1 Dy 2.74, 2 Nd 2.82
Dy1 0.0005 0.0005 0.2970  2 C 2.51, 1 Cl 2.74
Dy2 0.9995 0.9995 0.7030  2 C 2.51, 1 Cl 2.74
Nd1 0.3511 0.3511 0.4112  1 C 2.51
Nd2 0.6489 0.6489 0.5888  1 C 2.51

Values from the calculation:
Energy ... -5.345 eV/atom
Offset from the most stable computed form ... 0.03 eV per formula unit